[1]
Here is crystalline Tm3OsN4 at its relaxed geometry from OQMD via LeMat-Bulk. Energies are from PBE.

abc: 6.5183 6.5183 6.5183
angles: 151.12 128.87 59.78
Last column: nearest neighbours and their distance in Å.
Positions (direct):
Tm 0.7836 0.2837 0.5000  6 N 2.27-2.38
Tm 0.5000 0.5000 0.0000  8 N 2.57
Tm 0.2163 0.7163 0.5000  6 N 2.27-2.38
Os 0.0000 0.0000 0.0000  4 N 2.00
N 0.3767 0.1257 0.2509  1 Os 2.00
N 0.1252 0.8743 0.2509  1 Os 2.00
N 0.6233 0.8743 0.7491  1 Os 2.00
N 0.8748 0.1257 0.7491  1 Os 2.00

Results
The mass density comes out at 12.1 g/cm³. For the energy, the calculation gives -8.374 eV/atom. Its space-group type is No. 71.



[2]
Here is crystalline OsWN at its relaxed geometry from OQMD via LeMat-Bulk. Energies are from PBE.

abc: 5.5336 5.5336 4.2955
angles: 90.00 90.00 120.00
Last column: nearest neighbours and their distance in Å.
Positions (direct):
N 0.0000 0.0000 0.5000  3 Os 2.00
N 0.6667 0.3333 0.0000  3 W 1.93
N 0.3333 0.6667 0.0000  3 W 1.93
W 0.0000 0.3046 0.0000  2 N 1.93
W 0.3046 0.0000 0.0000  2 N 1.93
W 0.6954 0.6954 0.0000  2 N 1.93
Os 0.0000 0.6389 0.5000  1 N 2.00
Os 0.3611 0.3611 0.5000  1 N 2.00
Os 0.6389 0.0000 0.5000  1 N 2.00

Results
The mass density comes out at 17.0 g/cm³. For the energy, the calculation gives -10.344 eV/atom. Its space-group type is No. 189.



[3]
Here is crystalline ZnOsN2 at its relaxed geometry from OQMD via LeMat-Bulk. Energies are from PBE.

abc: 5.6466 6.4103 5.2488
angles: 90.00 90.00 90.00
Last column: nearest neighbours and their distance in Å.
Positions (direct):
N 0.6194 0.1516 0.3942  2 Os 1.94-1.98, 2 Zn 2.05-2.06
N 0.8786 0.1425 0.8533  2 Os 1.94-1.98, 2 Zn 2.03
N 0.3786 0.3575 0.8533  2 Os 1.94-1.98, 2 Zn 2.03
N 0.8806 0.6516 0.8942  2 Os 1.94-1.98, 2 Zn 2.05-2.06
N 0.1214 0.8575 0.3533  2 Os 1.94-1.98, 2 Zn 2.03
N 0.6214 0.6425 0.3533  2 Os 1.94-1.98, 2 Zn 2.03
N 0.3806 0.8484 0.8942  2 Os 1.94-1.98, 2 Zn 2.05-2.06
N 0.1194 0.3484 0.3942  2 Os 1.94-1.98, 2 Zn 2.05-2.06
Zn 0.4465 0.8862 0.5132  4 N 2.03-2.06
Zn 0.5535 0.1138 0.0132  4 N 2.03-2.06
Zn 0.9465 0.6138 0.5132  4 N 2.03-2.06
Zn 0.0535 0.3862 0.0132  4 N 2.03-2.06
Os 0.9523 0.0957 0.4894  4 N 1.94-1.98
Os 0.5477 0.5957 0.9894  4 N 1.94-1.98
Os 0.0477 0.9043 0.9894  4 N 1.94-1.98
Os 0.4523 0.4043 0.4894  4 N 1.94-1.98

Results
The mass density comes out at 9.9 g/cm³. For the energy, the calculation gives -6.846 eV/atom. Its space-group type is No. 33.



[4]
Here is crystalline Pa3P3N2 at its relaxed geometry from OQMD via LeMat-Bulk. Energies are from PBE.

abc: 6.2020 6.2020 13.0472
angles: 90.00 90.00 144.47
Last column: nearest neighbours and their distance in Å.
Positions (direct):
Pa 0.3298 0.6702 0.7500  2 N 2.49, 2 P 2.75
Pa 0.6702 0.3298 0.2500  2 N 2.49, 2 P 2.75
Pa 0.3634 0.6365 0.4517  3 N 2.23-2.27
Pa 0.6365 0.3634 0.5483  3 N 2.23-2.27
Pa 0.6365 0.3634 0.9517  3 N 2.23-2.27
Pa 0.3634 0.6365 0.0483  3 N 2.23-2.27
P 0.0478 0.9522 0.3826  6 Pa 2.94-3.06, 2 N 3.21, 1 P 3.26
P 0.9522 0.0478 0.6174  6 Pa 2.94-3.06, 2 N 3.21, 1 P 3.26
P 0.3391 0.6609 0.2500  4 Pa 2.65-2.75
P 0.0478 0.9522 0.1174  6 Pa 2.94-3.06, 2 N 3.21, 1 P 3.26
P 0.6609 0.3391 0.7500  4 Pa 2.65-2.75
P 0.9522 0.0478 0.8826  6 Pa 2.94-3.06, 2 N 3.21, 1 P 3.26
N 0.2372 0.7628 0.9215  4 Pa 2.23-2.49
N 0.2372 0.7628 0.5785  4 Pa 2.23-2.49
N 0.7628 0.2372 0.4215  4 Pa 2.23-2.49
N 0.7628 0.2372 0.0785  4 Pa 2.23-2.49

Results
The mass density comes out at 9.3 g/cm³. For the energy, the calculation gives -8.971 eV/atom. Its space-group type is No. 63.



[5]
Here is crystalline Ta4PPbN2 at its relaxed geometry from OQMD via LeMat-Bulk. Energies are from PBE.

abc: 3.3031 3.3031 12.6147
angles: 90.00 90.00 120.00
Last column: nearest neighbours and their distance in Å.
Positions (direct):
Ta 0.0000 0.0000 0.6917  3 N 2.14
Ta 0.0000 0.0000 0.3083  3 N 2.14
Ta 0.6667 0.3333 0.1355  3 N 2.26
Ta 0.6667 0.3333 0.8645  3 N 2.26
P 0.0000 0.0000 0.0000  6 Ta 2.56
Pb 0.6667 0.3333 0.5000  6 Ta 3.08, 6 Pb 3.30
N 0.3333 0.6667 0.2310  6 Ta 2.14-2.26
N 0.3333 0.6667 0.7690  6 Ta 2.14-2.26

Results
The mass density comes out at 13.8 g/cm³. For the energy, the calculation gives -9.626 eV/atom. Its space-group type is No. 187.



[6]
Here is crystalline Ta4PPbN2 at its relaxed geometry from OQMD via LeMat-Bulk. Energies are from PBE.

abc: 3.3031 3.3031 12.6148
angles: 90.00 90.00 120.00
Last column: nearest neighbours and their distance in Å.
Positions (direct):
Ta 0.0000 0.0000 0.6355  3 N 2.26
Ta 0.0000 0.0000 0.3645  3 N 2.26
Ta 0.6667 0.3333 0.1917  3 N 2.14
Ta 0.6667 0.3333 0.8083  3 N 2.14
Pb 0.0000 0.0000 0.0000  6 Ta 3.08, 6 Pb 3.30
N 0.3333 0.6667 0.2690  6 Ta 2.14-2.26
N 0.3333 0.6667 0.7310  6 Ta 2.14-2.26
P 0.6667 0.3333 0.5000  6 Ta 2.56

Results
The mass density comes out at 13.8 g/cm³. For the energy, the calculation gives -9.626 eV/atom. Its space-group type is No. 187.



[7]
Here is crystalline Pr2P3N7 at its relaxed geometry from OQMD via LeMat-Bulk. Energies are from PBE.

abc: 6.4431 6.4431 7.7745
angles: 102.70 102.70 105.41
Last column: nearest neighbours and their distance in Å.
Positions (direct):
N 0.7737 0.0138 0.8644  1 P 1.58
N 0.6633 0.9842 0.2300  2 P 1.66-1.67
N 0.9862 0.2263 0.6356  1 P 1.58
N 0.6769 0.3782 0.4299  2 P 1.64-1.68
N 0.0158 0.3367 0.2700  2 P 1.66-1.67
N 0.3367 0.0158 0.7700  2 P 1.66-1.67
N 0.3783 0.6769 0.9299  2 P 1.64-1.68
N 0.0138 0.7737 0.3644  1 P 1.58
N 0.9842 0.6633 0.7300  2 P 1.66-1.67
N 0.3231 0.6218 0.5701  2 P 1.64-1.68
N 0.6505 0.3495 0.7500  2 P 1.67
N 0.3495 0.6505 0.2500  2 P 1.67
N 0.6218 0.3231 0.0701  2 P 1.64-1.68
N 0.2263 0.9862 0.1356  1 P 1.58
P 0.3881 0.8394 0.1343  4 N 1.58-1.68
P 0.6119 0.1606 0.8657  4 N 1.58-1.68
P 0.7430 0.2570 0.2500  4 N 1.64-1.66
P 0.1606 0.6119 0.3657  4 N 1.58-1.68
P 0.2570 0.7430 0.7500  4 N 1.64-1.66
P 0.8394 0.3881 0.6343  4 N 1.58-1.68
Pr 0.8160 0.7314 0.0210  7 N 2.44-2.72
Pr 0.7314 0.8160 0.5210  7 N 2.44-2.72
Pr 0.1840 0.2686 0.9790  7 N 2.44-2.72
Pr 0.2686 0.1840 0.4790  7 N 2.44-2.72

Results
The mass density comes out at 5.4 g/cm³. For the energy, the calculation gives -8.014 eV/atom. Its space-group type is No. 15.



[8]
Here is crystalline PrPN2 at its relaxed geometry from OQMD via LeMat-Bulk. Energies are from PBE.

abc: 4.6806 4.6806 6.8859
angles: 109.49 109.49 83.77
Last column: nearest neighbours and their distance in Å.
Positions (direct):
N 0.3327 0.9167 0.6462  1 P 1.61
N 0.0833 0.6673 0.8538  1 P 1.61
N 0.9167 0.3327 0.1462  1 P 1.61
N 0.6673 0.0833 0.3538  1 P 1.61
Pr 0.8502 0.1498 0.7500  6 N 2.49-2.61
Pr 0.1498 0.8502 0.2500  6 N 2.49-2.61
P 0.3477 0.6523 0.7500  2 N 1.61
P 0.6523 0.3477 0.2500  2 N 1.61

Results
The mass density comes out at 5.0 g/cm³. For the energy, the calculation gives -7.630 eV/atom. Its space-group type is No. 15.